Model i:
VASP calculation (GGA-PBE) on crystalline YHfSe3 at its relaxed geometry.

Summary:
SG: No. 62

Unit cell a=3.902 b=9.099 c=13.616 alpha=90.00 beta=90.00 gamma=90.00
Positions (direct):
Y: 0.250 0.986 0.342
Y: 0.750 0.014 0.658
Y: 0.750 0.514 0.842
Y: 0.250 0.486 0.158
Hf: 0.250 0.665 0.539
Hf: 0.750 0.335 0.461
Hf: 0.750 0.835 0.039
Hf: 0.250 0.165 0.961
Se: 0.750 0.200 0.287
Se: 0.250 0.658 0.969
Se: 0.250 0.001 0.121
Se: 0.250 0.501 0.379
Se: 0.250 0.158 0.531
Se: 0.750 0.499 0.621
Se: 0.250 0.300 0.787
Se: 0.750 0.999 0.879
Se: 0.750 0.342 0.031
Se: 0.750 0.700 0.213
Se: 0.750 0.842 0.469
Se: 0.250 0.800 0.713

Model ii:
VASP calculation (GGA-PBE) on crystalline YHfSe3 at its relaxed geometry.

Summary:
SG: No. 221

Unit cell a=5.113 b=5.113 c=5.113 alpha=90.00 beta=90.00 gamma=90.00
Positions (direct):
Y: 0.500 0.500 0.500
Hf: 0.000 0.000 0.000
Se: 0.000 0.500 0.000
Se: 0.000 0.000 0.500
Se: 0.500 0.000 0.000

Model iii:
VASP calculation (GGA-PBE) on crystalline YHfSe3 at its relaxed geometry.

Summary:
SG: No. 221

Unit cell a=5.310 b=5.310 c=5.310 alpha=90.00 beta=90.00 gamma=90.00
Each line ends with the local moment (μB).
Positions (direct):
Y: 0.000 0.000 0.000  0.01
Hf: 0.500 0.500 0.500  0.78
Se: 0.000 0.500 0.000  -0.09
Se: 0.000 0.000 0.500  -0.07
Se: 0.500 0.000 0.000  -0.07

Among the structures above, stability is smallest for model iii.